PBE RbScTlI6, relaxed; ΔE_f (raw) = -95 kJ per mole of atoms; theoretical density = 4.104 g/cm³
1.0
-3.732 2.283 6.758
-7.782 -1.749 1.091
2.016 -6.832 3.422
Rb Sc Tl I
1 1 1 6
Cartesian
-1.716 -4.549 10.181
-2.830 -3.238 4.327
-6.667 -3.060 6.943
-2.371 -2.462 1.562
-0.142 -4.161 4.948
-3.623 -4.178 6.964
-3.386 -5.919 3.344
-5.509 -2.137 4.058
-1.949 -0.572 5.088